Here is a relaxed Ba2Sn4Pt3Rh crystal from Alexandria via LeMat-Bulk. Energies are from PBE.

abc: 4.730 4.730 10.973
angles: 90.00 90.00 90.00
Atoms (fractional coordinates):
Ba  0.000  0.500  0.247
Ba  0.500  0.000  0.753
Sn  0.000  0.000  0.500
Sn  0.000  0.500  0.880
Sn  0.500  0.000  0.120
Sn  0.500  0.500  0.500
Pt  0.000  0.000  0.000
Pt  0.000  0.500  0.629
Pt  0.500  0.000  0.371
Rh  0.500  0.500  0.000

Energy of formation in meV per atom: -751



Here is a relaxed CeHoNi2 crystal from Alexandria via LeMat-Bulk. Energies are from PBE.

abc: 4.799 4.799 4.799
angles: 60.00 60.00 60.00
Atoms (fractional coordinates):
Ce  0.000  0.000  0.000
Ho  0.500  0.500  0.500
Ni  0.250  0.250  0.250
Ni  0.750  0.750  0.750

Energy of formation in meV per atom: -313
Energy relative to the lowest polymorph listed for this composition in kJ/mol of atoms: 8.6



Question: Among the records above, which one has the highest energy of formation?
Answer: CeHoNi2